Here is a relaxed BeN2OF crystal from Alexandria. Energies are from PBE-GGA.

Results
Volume = 8.96 Å³/atom
E = -4.12 eV/atom
DOS(E_F) = 3.817 states/eV/cell

POSCAR file:
```
BeN2OF
1.0
3.7708 0.0000 0.0000
0.0000 3.7708 0.0000
0.0000 0.0000 3.1522
Be N O F
1 2 1 1
direct
0.0000 0.0000 0.0000
0.0000 0.5000 0.0000
0.5000 0.0000 0.0000
0.0000 0.0000 0.5000
0.5000 0.5000 0.5000
```


Here is a relaxed BeN2OF crystal from Alexandria. Energies are from PBE-GGA.

Results
Volume = 8.75 Å³/atom
E = -4.25 eV/atom
DOS(E_F) = 1.974 states/eV/cell

POSCAR file:
```
BeN2OF
1.0
3.6892 0.0000 0.0000
0.0000 3.6892 0.0000
0.0000 0.0000 3.2159
Be N O F
1 2 1 1
direct
0.0000 0.0000 0.0000
0.0000 0.5000 0.0000
0.5000 0.0000 0.0000
0.5000 0.5000 0.5000
0.0000 0.0000 0.5000
```


no.,magnetic moment (Bohr magnetons per cell)
1,2.6
2,1.5